Here is a relaxed BeHNF2 crystal from Alexandria via LeMat-Bulk. Energies are from PBE.

Geometry as extended XYZ:
```
5
Lattice="3.190 0.000 0.000 0.000 3.190 0.000 0.000 0.000 5.438" Properties=species:S:1:pos:R:3 pbc="T T T"
Be 0.000 0.000 0.000
H 1.595 1.595 2.719
N 0.000 0.000 2.719
F 0.000 1.595 0.000
F 1.595 0.000 0.000
```

Output
- Energy above the most stable polymorph in this dataset: 0 meV/atom
- Symmetry: P4/mmm, No. 123
- Magnetization: 2.00 μB/f.u.
- Calculated total energy: -20.85 eV for the cell shown